This record from Alexandria via LeMat-Bulk describes a relaxed ScPaV2O8 crystal. The functional is PBE with a Hubbard U.

Values from the calculation:
Energy (eV/f.u.): -103.06
Crystal system: tetragonal

Cell: 6.4724 6.4724 6.4724 Å, 133.82 133.82 67.36°
Sites, in units of the cell vectors:
1 Sc 0.0000 0.0000 0.0000
2 Pa 0.2500 0.7500 0.5000
3 V 0.5000 0.5000 0.0000
4 V 0.7500 0.2500 0.5000
5 O 0.0077 0.0690 0.4081
6 O 0.2343 0.6786 0.0793
7 O 0.3214 0.4006 0.5557
8 O 0.4004 0.9923 0.0614
9 O 0.5994 0.1551 0.9207
10 O 0.6609 0.5996 0.5919
11 O 0.8449 0.7657 0.4443
12 O 0.9310 0.3391 0.9386